This record from OQMD via LeMat-Bulk describes crystalline Gd3Ge7 at its relaxed geometry. The functional is PBE-GGA.

a b c (Å): 12.4812 12.4812 4.1981
angles (deg): 90.00 90.00 161.15
Positions (direct):
Gd1 0.0000 0.0000 0.0000
Gd2 0.8176 0.1824 0.0000
Gd3 0.1824 0.8176 0.0000
Ge1 0.5925 0.4075 0.0000
Ge2 0.4075 0.5925 0.0000
Ge3 0.9071 0.0929 0.5000
Ge4 0.7163 0.2837 0.5000
Ge5 0.5000 0.5000 0.5000
Ge6 0.2837 0.7163 0.5000
Ge7 0.0929 0.9071 0.5000

Its total DFT energy (no corrections) is -5.176 eV per atom. As for the volume: 21.1 A^3/atom.

This record from OQMD via LeMat-Bulk describes crystalline Gd2Ge at its relaxed geometry. The functional is PBE-GGA.

a b c (Å): 8.9007 8.9007 8.9007
angles (deg): 60.00 60.00 60.00
Positions (direct):
Gd1 0.3750 0.3750 0.3750
Gd2 0.8750 0.3750 0.3750
Gd3 0.3750 0.8750 0.3750
Gd4 0.3750 0.3750 0.8750
Ge1 0.2500 0.2500 0.2500
Ge2 0.5000 0.5000 0.5000

Its total DFT energy (no corrections) is -3.652 eV per atom. As for the volume: 83.1 A^3/atom. The energy relative to the lowest polymorph listed for this composition comes out at 1613 meV per atom.

This record from OQMD via LeMat-Bulk describes crystalline GdHgGe6 at its relaxed geometry. The functional is PBE-GGA.

a b c (Å): 5.6099 5.6099 5.6099
angles (deg): 97.38 97.38 97.38
Positions (direct):
Gd1 0.0000 0.0000 0.0000
Ge1 0.8017 0.5025 0.1258
Ge2 0.4975 0.8742 0.1983
Ge3 0.8742 0.1983 0.4975
Ge4 0.1258 0.8017 0.5025
Ge5 0.5025 0.1258 0.8017
Ge6 0.1983 0.4975 0.8742
Hg1 0.5000 0.5000 0.5000

Its total DFT energy (no corrections) is -4.095 eV per atom. As for the volume: 21.5 A^3/atom.